# Tb9Ho2Th

Crystalline Tb9Ho2Th at its relaxed geometry (PBE, the Alexandria database).

Output
energy of formation = 27 meV per atom
DFT total energy = -4.83 eV/atom
space group = No. 123

Cell and atoms, written as POSCAR:
```
Tb9Ho2Th
1.0
5.0327 0.0000 0.0000
0.0000 5.0327 0.0000
0.0000 0.0000 15.0781
Tb Ho Th
9 2 1
direct
0.0000 0.0000 0.0000
0.0000 0.0000 0.3351
0.0000 0.0000 0.6649
0.0000 0.5000 0.1653
0.0000 0.5000 0.5000
0.0000 0.5000 0.8347
0.5000 0.0000 0.1653
0.5000 0.0000 0.5000
0.5000 0.0000 0.8347
0.5000 0.5000 0.3334
0.5000 0.5000 0.6666
0.5000 0.5000 0.0000
```

---

# SbBrN3

Crystalline SbBrN3 at its relaxed geometry (PBE, the Alexandria database).

Output
ΔE_f (raw) = 11.60 eV per formula unit
DFT total energy = -3.83 eV/atom
space group = No. 221

Cell and atoms, written as POSCAR:
```
SbBrN3
1.0
3.9664 0.0000 0.0000
0.0000 3.9664 0.0000
0.0000 0.0000 3.9664
Sb Br N
1 1 3
direct
0.0000 0.0000 0.0000
0.5000 0.5000 0.5000
0.0000 0.5000 0.5000
0.5000 0.0000 0.5000
0.5000 0.5000 0.0000
```